Record 1
VASP calculation (PBE-GGA) on a relaxed structure of Ag6SeCl2O.

Output
ΔE_f (raw)	-0.135	eV/atom

Cell lengths 6.689, 6.568, 11.534 Å; angles 90.00, 123.42, 90.00 degrees
Space group P2_1/c (No. 14)
One atom of each set of equivalent atoms:
Ag1 0.105 0.174 0.455 [4 per cell]
Ag2 0.242 0.689 0.466 [4 per cell]
Ag3 0.297 0.061 0.233 [4 per cell]
Se1 0.500 0.000 0.500 [2 per cell]
Cl1 0.281 0.001 0.763 [4 per cell]
O1 0.000 0.000 0.000 [2 per cell]

---

Record 2
VASP calculation (PBE-GGA) on a relaxed structure of Tb4Co.

Output
formation energy from the elements	294	meV per atom

Cell lengths 10.585, 10.585, 10.585 Å; angles 90.00, 90.00, 90.00 degrees
Space group Fd-3m (No. 227, origin choice 2)
One atom of each set of equivalent atoms:
Tb1 0.011 0.011 0.239 [32 per cell]
Co1 0.125 0.125 0.625 [8 per cell]

---

Record 3
VASP calculation (PBE-GGA) on a relaxed structure of Nd3RuCl3.

Output
ΔE_f (raw)	-1.436	eV/atom

Cell lengths 8.638, 4.174, 12.028 Å; angles 90.00, 90.08, 90.00 degrees
Space group P2_1/m (No. 11)
One atom of each set of equivalent atoms:
Nd1 0.105 0.250 0.166 [2 per cell]
Nd2 0.139 0.250 0.635 [2 per cell]
Nd3 0.293 0.750 0.397 [2 per cell]
Ru1 0.069 0.250 0.398 [2 per cell]
Cl1 0.114 0.250 0.900 [2 per cell]
Cl2 0.327 0.750 0.152 [2 per cell]
Cl3 0.429 0.750 0.625 [2 per cell]

---

Record 4
VASP calculation (PBE-GGA) on a relaxed structure of CsBaCd2.

Output
formation energy from the elements	99	meV per atom

Cell lengths 9.829, 9.829, 8.190 Å; angles 90.00, 90.00, 90.00 degrees
Space group I-42d (No. 122)
One atom of each set of equivalent atoms:
Cs1 0.000 0.000 0.000 [4 per cell]
Ba1 0.000 0.000 0.500 [4 per cell]
Cd1 0.232 0.750 0.625 [8 per cell]

---

Number 1: raw total energy -30.60 eV/f.u.. Number 2: raw total energy -24.15 eV/f.u.. Number 3: raw total energy -39.17 eV/f.u.. Number 4: raw total energy -4.21 eV/f.u..